Record 1
An optimized crystal structure of CaNbIN2. Source: the Alexandria database, functional PBE-GGA.

Cell: 4.307 4.307 5.618 Å, 90.00 90.00 90.00°
Fractional positions:
I (0.000, 0.000, 0.500)
Nb (0.500, 0.500, 0.500)
Ca (0.000, 0.000, 0.000)
N (0.000, 0.500, 0.000)
N (0.500, 0.000, 0.000)

## Properties
Space-group type   No. 123
Final energy   -4.300 eV per atom
Offset from the most stable computed form   1848 meV/atom
DOS(E_F)   1.756 states/eV/atom
Total moment   0.00 Bohr magnetons per cell
Raw formation energy   1.754 eV per atom

Record 2
An optimized crystal structure of CaIN2O. Source: the Alexandria database, functional PBE-GGA.

Cell: 4.083 4.083 4.168 Å, 90.00 90.00 90.00°
Fractional positions:
I (0.000, 0.000, 0.000)
Ca (0.500, 0.500, 0.500)
O (0.000, 0.000, 0.500)
N (0.000, 0.500, 0.000)
N (0.500, 0.000, 0.000)

## Properties
Space-group type   No. 123
Final energy   -4.674 eV per atom
DOS(E_F)   0.258 states/eV/atom
Total moment   0.13 Bohr magnetons per cell
Raw formation energy   0.358 eV per atom

Record 3
An optimized crystal structure of CaIN2O. Source: the Alexandria database, functional PBE-GGA.

Cell: 4.795 4.795 6.203 Å, 90.00 90.00 90.00°
Each line ends with the local moment (μB).
Fractional positions:
I (0.000, 0.000, 0.500)  0.38
Ca (0.000, 0.000, 0.000)  0.03
O (0.500, 0.500, 0.500)  1.42
N (0.000, 0.500, 0.000)  1.51
N (0.500, 0.000, 0.000)  1.51

## Properties
Space-group type   No. 123
Final energy   -3.480 eV per atom
DOS(E_F)   0.479 states/eV/atom
Total moment   7.02 Bohr magnetons per cell
Raw formation energy   1.552 eV per atom

Record 4
An optimized crystal structure of CaIN2O. Source: the Alexandria database, functional PBE-GGA.

Cell: 4.305 4.305 4.235 Å, 90.00 90.00 90.00°
Each line ends with the local moment (μB).
Fractional positions:
I (0.000, 0.000, 0.500)  -0.01
Ca (0.500, 0.500, 0.500)  0.00
O (0.000, 0.000, 0.000)  -0.05
N (0.000, 0.500, 0.000)  0.37
N (0.500, 0.000, 0.000)  0.37

## Properties
Space-group type   No. 123
Final energy   -3.728 eV per atom
DOS(E_F)   0.550 states/eV/atom
Total moment   0.96 Bohr magnetons per cell
Raw formation energy   1.304 eV per atom

Record 5
An optimized crystal structure of CaINO2. Source: the Alexandria database, functional PBE-GGA.

Cell: 4.237 4.237 4.117 Å, 90.00 90.00 90.00°
Fractional positions:
I (0.000, 0.000, 0.000)
Ca (0.500, 0.500, 0.500)
O (0.000, 0.500, 0.000)
O (0.500, 0.000, 0.000)
N (0.000, 0.000, 0.500)

## Properties
Space-group type   No. 123
Final energy   -4.720 eV per atom
DOS(E_F)   0.239 states/eV/atom
Total moment   0.00 Bohr magnetons per cell
Raw formation energy   -0.361 eV per atom

Record 6
An optimized crystal structure of CaIN2O. Source: the Alexandria database, functional PBE-GGA.

Cell: 4.807 4.807 4.538 Å, 90.00 90.00 90.00°
Each line ends with the local moment (μB).
Fractional positions:
I (0.500, 0.500, 0.500)  -0.16
Ca (0.000, 0.000, 0.000)  0.04
O (0.000, 0.000, 0.500)  -0.78
N (0.000, 0.500, 0.000)  1.44
N (0.500, 0.000, 0.000)  1.44

## Properties
Space-group type   No. 123
Final energy   -3.779 eV per atom
DOS(E_F)   0.841 states/eV/atom
Total moment   3.13 Bohr magnetons per cell
Raw formation energy   1.253 eV per atom